Entry 1:
DFT (PBE) results for a relaxed CaEr2Ag3 crystal.

abc: 3.6133 3.6133 11.0595
angles: 90.00 90.00 90.00
Sites, in units of the cell vectors:
Ca  0.5000  0.5000  0.5000
Er  0.5000  0.5000  0.8354
Er  0.5000  0.5000  0.1646
Ag  0.0000  0.0000  0.0000
Ag  0.0000  0.0000  0.6826
Ag  0.0000  0.0000  0.3174

Output
Its energy relative to the elements is -0.3291 eV per atom. The calculation puts the total DFT energy (no corrections) at -3.61 eV/atom.

Entry 2:
DFT (PBE) results for a relaxed CaErAg6 crystal.

abc: 4.8613 4.8894 8.5136
angles: 89.54 73.41 60.19
Sites, in units of the cell vectors:
Ca  0.0000  0.5000  0.5000
Er  0.0000  0.0000  0.0000
Ag  0.2464  0.8769  0.6302
Ag  0.4974  0.2507  0.7545
Ag  0.2509  0.3754  0.1228
Ag  0.5026  0.7493  0.2455
Ag  0.7536  0.1231  0.3698
Ag  0.7491  0.6246  0.8772

Output
Its energy relative to the elements is -0.1960 eV per atom. The calculation puts the total DFT energy (no corrections) at -3.16 eV/atom.

Entry 3:
DFT (PBE) results for a relaxed Ca2ErAg3 crystal.

abc: 5.1709 5.1709 6.3724
angles: 90.00 90.00 120.00
Sites, in units of the cell vectors:
Ca  0.6667  0.3333  0.3376
Ca  0.3333  0.6667  0.6624
Er  0.0000  0.0000  0.0000
Ag  0.0000  0.0000  0.5000
Ag  0.6667  0.3333  0.8583
Ag  0.3333  0.6667  0.1417

Output
The value obtained for the energy relative to the lowest polymorph listed for this composition is 13 meV/atom. Its energy relative to the elements is -0.3061 eV per atom. The calculation puts the total DFT energy (no corrections) at -3.16 eV/atom.

Entry 4:
DFT (PBE) results for a relaxed CaErAg4 crystal.

abc: 5.2804 5.2811 5.3579
angles: 60.47 90.01 90.01
Sites, in units of the cell vectors:
Ca  0.0013  0.5018  0.4955
Er  0.5013  0.0019  0.4954
Ag  0.5012  0.6744  0.1505
Ag  0.5013  0.3295  0.8403
Ag  0.0013  0.1707  0.1576
Ag  0.0013  0.8328  0.8333

Output
The value obtained for the energy relative to the lowest polymorph listed for this composition is 5 meV/atom. Its energy relative to the elements is -0.2722 eV per atom. The calculation puts the total DFT energy (no corrections) at -3.27 eV/atom.

Entry 5:
DFT (PBE) results for a relaxed CaEr2Ag crystal.

abc: 3.6006 3.6006 9.2880
angles: 90.00 90.00 90.00
Sites, in units of the cell vectors:
Ca  0.5000  0.5000  0.5000
Ag  0.5000  0.5000  0.0000
Er  0.0000  0.0000  0.8106
Er  0.0000  0.0000  0.1894

Output
The value obtained for the energy relative to the lowest polymorph listed for this composition is 0 meV/atom. Its energy relative to the elements is -0.0653 eV per atom. The calculation puts the total DFT energy (no corrections) at -3.56 eV/atom.

Entry 6:
DFT (PBE) results for a relaxed Ca2ErAg3 crystal.

abc: 3.6660 3.6660 11.0941
angles: 90.00 90.00 90.00
Sites, in units of the cell vectors:
Ca  0.5000  0.5000  0.8294
Ca  0.5000  0.5000  0.1706
Er  0.5000  0.5000  0.5000
Ag  0.0000  0.0000  0.0000
Ag  0.0000  0.0000  0.6496
Ag  0.0000  0.0000  0.3504

Output
The value obtained for the energy relative to the lowest polymorph listed for this composition is 0 meV/atom. Its energy relative to the elements is -0.3186 eV per atom. The calculation puts the total DFT energy (no corrections) at -3.17 eV/atom.

Entry 7:
DFT (PBE) results for a relaxed CaErAg crystal.

abc: 3.6474 3.6474 6.9384
angles: 105.24 105.24 90.00
Sites, in units of the cell vectors:
Ca  0.0218  0.0218  0.0437
Ag  0.6770  0.6770  0.3540
Er  0.3012  0.3012  0.6023

Output
The value obtained for the energy relative to the lowest polymorph listed for this composition is 0 meV/atom. Its energy relative to the elements is -0.1644 eV per atom. The calculation puts the total DFT energy (no corrections) at -3.30 eV/atom.

Entry 8:
DFT (PBE) results for a relaxed CaEr2Ag crystal.

abc: 3.5554 3.5554 11.4029
angles: 81.03 81.03 60.00
Sites, in units of the cell vectors:
Ca  0.0000  0.0000  0.0000
Ag  0.5000  0.5000  0.5000
Er  0.0999  0.0999  0.7003
Er  0.9001  0.9001  0.2997

Output
The value obtained for the energy relative to the lowest polymorph listed for this composition is 250 meV/atom. Its energy relative to the elements is 0.1845 eV per atom. The calculation puts the total DFT energy (no corrections) at -3.31 eV/atom.